Arrangement one

A geometry-optimized CrCuO2 structure. Source: Alexandria, functional GGA+U.

Calculated values
Total moment ... 0.745 μB/atom
Volume ... 11.5 Å³/atom
N(E_F) ... 0.000 states/eV/atom
Space group ... P6_3/mmc

Lattice parameters (Å, degrees): 3.0481 11.4406 3.0481 90.00 120.00 90.00
Last column: nearest neighbours and their distance in Å.
Positions (direct):
Cr: 0.0000 0.5000 0.0000  6 O 2.03
Cr: 0.0000 0.0000 0.0000  6 O 2.03
Cu: 0.3333 0.7500 0.6667  2 O 1.85
Cu: 0.6667 0.2500 0.3333  2 O 1.85
O: 0.6667 0.4119 0.3333  1 Cu 1.85, 3 Cr 2.03
O: 0.3333 0.9119 0.6667  1 Cu 1.85, 3 Cr 2.03
O: 0.3333 0.5881 0.6667  1 Cu 1.85, 3 Cr 2.03
O: 0.6667 0.0881 0.3333  1 Cu 1.85, 3 Cr 2.03

Arrangement two

A geometry-optimized CrCuO2 structure. Source: Alexandria, functional GGA+U.

Calculated values
Total moment ... 0.750 μB/atom
Volume ... 12.1 Å³/atom
N(E_F) ... 0.086 states/eV/atom
Space group ... I-42d

Lattice parameters (Å, degrees): 4.3346 4.3346 5.9903 68.79 68.79 90.00
Last column: nearest neighbours and their distance in Å.
Positions (direct):
Cr: 0.5000 0.5000 0.0000  4 O 1.95
Cr: 0.2500 0.7500 0.5000  4 O 1.95
O: 0.6023 0.1250 0.2500  2 Cr 1.95, 2 Cu 2.06
O: 0.1477 0.6250 0.2500  2 Cr 1.95, 2 Cu 2.06
O: 0.3750 0.3977 0.7500  2 Cr 1.95, 2 Cu 2.06
O: 0.8750 0.8523 0.7500  2 Cr 1.95, 2 Cu 2.06
Cu: 0.0000 0.0000 0.0000  4 O 2.06
Cu: 0.7500 0.2500 0.5000  4 O 2.06

Arrangement three

A geometry-optimized CrCuO2 structure. Source: Alexandria, functional GGA+U.

Calculated values
Total moment ... 0.641 μB/atom
Volume ... 11.6 Å³/atom
N(E_F) ... 0.439 states/eV/atom
Space group ... R-3m

Lattice parameters (Å, degrees): 6.0904 6.0904 6.0904 28.84 28.84 28.84
Last column: nearest neighbours and their distance in Å.
Positions (direct):
Cr: 0.0000 0.0000 0.0000  2 O 1.88
O: 0.8926 0.8926 0.8926  1 Cr 1.88, 3 Cu 2.04
O: 0.1074 0.1074 0.1074  1 Cr 1.88, 3 Cu 2.04
Cu: 0.5000 0.5000 0.5000  6 O 2.04

The most stable arrangement is arrangement one, and the next structure is 0.458 eV/atom less stable.

Arrangement one

A geometry-optimized CrCuPO2 structure. Source: Alexandria, functional GGA+U.

Calculated values
Total moment ... 0.236 μB/atom
Volume ... 13.8 Å³/atom
N(E_F) ... 0.465 states/eV/atom
Space group ... P4/mmm

Lattice parameters (Å, degrees): 3.5790 3.5790 5.3946 90.00 90.00 90.00
Last column: nearest neighbours and their distance in Å.
Positions (direct):
Cr: 0.0000 0.0000 0.0000  4 O 1.79
O: 0.0000 0.5000 0.0000  2 Cr 1.79
O: 0.5000 0.0000 0.0000  2 Cr 1.79
Cu: 0.5000 0.5000 0.5000  4 P 2.53
P: 0.0000 0.0000 0.5000  4 Cu 2.53, 2 Cr 2.70

Arrangement two

A geometry-optimized CrCuPO2 structure. Source: Alexandria, functional GGA+U.

Calculated values
Total moment ... 0.508 μB/atom
Volume ... 13.2 Å³/atom
N(E_F) ... 0.561 states/eV/atom
Space group ... P4/mmm

Lattice parameters (Å, degrees): 3.7343 3.7343 4.7328 90.00 90.00 90.00
Last column: nearest neighbours and their distance in Å.
Positions (direct):
Cr: 0.5000 0.5000 0.5000  4 P 2.64
O: 0.0000 0.5000 0.0000  2 Cu 1.87
O: 0.5000 0.0000 0.0000  2 Cu 1.87
Cu: 0.0000 0.0000 0.0000  4 O 1.87
P: 0.0000 0.0000 0.5000  2 Cu 2.37, 4 Cr 2.64

The most stable arrangement is arrangement one, and the next structure is 0.530 eV/atom less stable.